No. 1
PBE TmMgZnPb, optimized geometry; crystal system = cubic; E_form = -0.67 eV/f.u.; M_tot = 0.00 μB per cell; N(E_F) = 0.55 states/eV per atom; distance to the lowest polymorph of the same formula = 0.099 eV per atom; electronic total energy = -2.929 eV/atom
1.0
-3.8748 3.3042 -0.2477
-4.7252 -1.5208 1.1630
-2.2257 1.6442 4.2821
Pb Zn Tm Mg
1 1 1 1
Direct
0.5000 0.5000 0.5000
0.0000 0.0000 0.0000
0.7500 0.7500 0.7500
0.2500 0.2500 0.2500



No. 2
PBE TmMgZnPb, optimized geometry; crystal system = orthorhombic; E_form = -1.06 eV/f.u.; M_tot = 0.00 μB per cell; N(E_F) = 0.40 states/eV per atom; distance to the lowest polymorph of the same formula = 0.000 eV per atom; electronic total energy = -3.028 eV/atom
1.0
-0.0084 -1.5149 3.9867
3.5130 -2.7883 -1.0521
3.0183 3.3237 1.2694
Tm Mg Zn Pb
1 1 1 1
Direct
0.5000 0.0000 0.5000
0.5000 0.5000 0.0000
0.0000 0.0000 0.0000
0.0000 0.5000 0.5000



No. 3
PBE TmMgZrPb, optimized geometry; crystal system = cubic; E_form = -0.24 eV/f.u.; M_tot = 0.00 μB per cell; N(E_F) = 0.86 states/eV per atom; electronic total energy = -4.641 eV/atom
1.0
5.1729 0.0000 0.0000
2.5864 4.4798 0.0000
2.5864 1.4933 4.2236
Pb Mg Tm Zr
1 1 1 1
Direct
0.5000 0.5000 0.5000
0.0000 0.0000 0.0000
0.7500 0.7500 0.7500
0.2500 0.2500 0.2500



No. 4
PBE MgVPb2, optimized geometry; crystal system = tetragonal; E_form = 2.13 eV/f.u.; M_tot = 5.66 μB per cell; N(E_F) = 1.17 states/eV per atom; electronic total energy = -3.999 eV/atom
1.0
-3.5413 2.9954 6.5230
0.1664 -7.2375 3.4138
1.1927 -1.4604 6.2287
Pb Mg V
4 2 2
Direct
0.6397 0.1250 0.2500
0.1103 0.6250 0.2500
0.3750 0.3603 0.7500
0.8750 0.8897 0.7500
0.5000 0.5000 0.0000
0.2500 0.7500 0.5000
0.0000 0.0000 0.0000
0.7500 0.2500 0.5000



No. 5
PBE MgV2Pb, optimized geometry; crystal system = tetragonal; E_form = 3.46 eV/f.u.; M_tot = 0.00 μB per cell; N(E_F) = 0.81 states/eV per atom; electronic total energy = -5.021 eV/atom
1.0
-4.4022 4.7271 3.7229
3.0296 -2.2441 6.4320
1.2471 3.2166 4.8558
Pb Mg V
2 2 4
Direct
0.0000 0.0000 0.0000
0.7500 0.2500 0.5000
0.5000 0.5000 0.0000
0.2500 0.7500 0.5000
0.6264 0.1250 0.2500
0.1236 0.6250 0.2500
0.3750 0.3736 0.7500
0.8750 0.8764 0.7500



No. 6
PBE Mg2V2Pb, optimized geometry; crystal system = tetragonal; E_form = 1.87 eV/f.u.; M_tot = 0.00 μB per cell; N(E_F) = 0.65 states/eV per atom; distance to the lowest polymorph of the same formula = 0.000 eV per atom; electronic total energy = -4.653 eV/atom
1.0
-3.5553 -4.3288 4.1802
5.5759 -4.1957 0.3975
1.3328 2.0830 3.2906
Pb Mg V
2 4 4
Direct
0.0000 0.0000 0.0000
0.5000 0.5000 0.0000
0.1858 0.6858 0.5000
0.6858 0.8142 0.5000
0.8142 0.3142 0.5000
0.3142 0.1858 0.5000
0.4032 0.9032 0.0000
0.9032 0.5968 0.0000
0.5968 0.0968 0.0000
0.0968 0.4032 0.0000



No. 7
PBE MgVPb3, optimized geometry; crystal system = cubic; E_form = 4.48 eV/f.u.; M_tot = 4.02 μB per cell; N(E_F) = 1.97 states/eV per atom; distance to the lowest polymorph of the same formula = 0.531 eV per atom; electronic total energy = -3.472 eV/atom
1.0
-2.0482 -2.6700 4.2909
4.2087 -3.4642 -0.1466
2.7977 3.2567 3.3619
Pb Mg V
3 1 1
Direct
0.0000 0.5000 0.0000
0.0000 0.0000 0.5000
0.5000 0.0000 0.0000
0.0000 0.0000 0.0000
0.5000 0.5000 0.5000



No. 8
PBE MgV3Pb, optimized geometry; crystal system = cubic; E_form = 7.78 eV/f.u.; M_tot = 10.41 μB per cell; N(E_F) = 1.80 states/eV per atom; distance to the lowest polymorph of the same formula = 0.000 eV per atom; electronic total energy = -4.975 eV/atom
1.0
-5.1439 0.2512 0.8428
-0.4233 -5.0910 -1.0659
0.7709 -1.1190 5.0385
Pb Mg V
1 1 3
Direct
0.0000 0.0000 0.0000
0.5000 0.5000 0.5000
0.0000 0.5000 0.0000
0.0000 0.0000 0.5000
0.5000 0.0000 0.0000



No. 9
PBE Mg2V2Pb, optimized geometry; crystal system = tetragonal; E_form = 2.84 eV/f.u.; M_tot = 1.07 μB per cell; N(E_F) = 0.84 states/eV per atom; distance to the lowest polymorph of the same formula = 0.194 eV per atom; electronic total energy = -4.459 eV/atom
1.0
4.0328 0.0000 0.0000
0.0000 4.0328 0.0000
2.0164 2.0164 6.3852
Pb Mg V
1 2 2
Direct
0.0000 0.0000 0.0000
0.7500 0.2500 0.5000
0.2500 0.7500 0.5000
0.4247 0.4247 0.1507
0.5753 0.5753 0.8493



No. 10
PBE MgVPb2, optimized geometry; crystal system = trigonal; E_form = 2.22 eV/f.u.; M_tot = 3.41 μB per cell; N(E_F) = 1.16 states/eV per atom; electronic total energy = -3.977 eV/atom
1.0
-1.2155 -2.9348 -1.1176
-0.4457 -2.5621 2.1394
-10.5549 1.5574 2.3164
Pb Mg V
2 1 1
Direct
0.0880 0.0880 0.7359
0.9120 0.9120 0.2641
0.5000 0.5000 0.5000
0.0000 0.0000 0.0000



No. 11
PBE MgVPb3, optimized geometry; crystal system = cubic; E_form = 1.82 eV/f.u.; M_tot = 1.09 μB per cell; N(E_F) = 0.30 states/eV per atom; distance to the lowest polymorph of the same formula = 0.000 eV per atom; electronic total energy = -4.003 eV/atom
1.0
5.3392 0.0000 0.0000
0.0000 5.3392 0.0000
0.0000 0.0000 5.3392
Pb Mg V
3 1 1
Direct
0.0000 0.5000 0.0000
0.0000 0.0000 0.5000
0.5000 0.0000 0.0000
0.5000 0.5000 0.5000
0.0000 0.0000 0.0000



No. 12
PBE MgZrVPb2, optimized geometry; crystal system = tetragonal; E_form = 2.57 eV/f.u.; M_tot = 0.00 μB per cell; N(E_F) = 0.75 states/eV per atom; electronic total energy = -4.822 eV/atom
1.0
5.5385 0.0000 0.0000
0.0000 5.5385 0.0000
0.0000 0.0000 4.9363
Pb Mg Zr V
2 1 1 1
Direct
0.0000 0.5000 0.0000
0.5000 0.0000 0.0000
0.5000 0.5000 0.5000
0.0000 0.0000 0.5000
0.0000 0.0000 0.0000